[1]
# BeSbSe2Br PBE-GGA relaxed
# relative energy among the computed polymorphs	0.00	kcal/mol of atoms
# V	106	Å³/cell
data_BeSbSe2Br
_cell_length_a 4.7913
_cell_length_b 4.7913
_cell_length_c 4.6064
_cell_angle_alpha 90.00
_cell_angle_beta 90.00
_cell_angle_gamma 90.00
_space_group_name_H-M_alt 'P 4/m m m'
_space_group_IT_number 123
_space_group_name_Hall '-P 4 2'
loop_
_atom_site_label
_atom_site_fract_x
_atom_site_fract_y
_atom_site_fract_z
Be1 0.0000 0.0000 0.0000
Sb1 0.5000 0.5000 0.5000
Se1 0.0000 0.5000 0.0000
Br1 0.0000 0.0000 0.5000

***

[2]
# SmHo2P3 PBE-GGA relaxed
# V	277	Å³/cell
# formation enthalpy at 0 K	-9.56	eV per formula unit
data_SmHo2P3
_cell_length_a 4.0310
_cell_length_b 5.6975
_cell_length_c 12.0796
_cell_angle_alpha 90.00
_cell_angle_beta 90.00
_cell_angle_gamma 90.00
_space_group_name_H-M_alt 'I m m m'
_space_group_IT_number 71
_space_group_name_Hall '-I 2 2'
loop_
_atom_site_label
_atom_site_fract_x
_atom_site_fract_y
_atom_site_fract_z
Sm1 0.0000 0.0000 0.0000
Ho1 0.0000 0.0000 0.3338
P1 0.0000 0.5000 0.0000
P2 0.0000 0.5000 0.3294

***

[3]
# La6Ni3Ag PBE-GGA relaxed
# V	569	Å³/cell
# formation enthalpy at 0 K	-2.08	eV per formula unit
data_La6Ni3Ag
_cell_length_a 11.1026
_cell_length_b 3.9386
_cell_length_c 13.7581
_cell_angle_alpha 90.00
_cell_angle_beta 108.88
_cell_angle_gamma 90.00
_space_group_name_H-M_alt 'P 1 21/m 1'
_space_group_IT_number 11
loop_
_space_group_symop_operation_xyz
'x,y,z'
'-x,-y,-z'
'-x,y+1/2,-z'
'x,-y+1/2,z'
loop_
_atom_site_label
_atom_site_fract_x
_atom_site_fract_y
_atom_site_fract_z
La1 0.0197 0.2500 0.1223
La2 0.0654 0.7500 0.4071
La3 0.2244 0.2500 0.8021
La4 0.3339 0.2500 0.3208
La5 0.3353 0.2500 0.5895
La6 0.3511 0.7500 0.0650
Ni1 0.1405 0.7500 0.6369
Ni2 0.1642 0.2500 0.9908
Ni3 0.4261 0.7500 0.4761
Ag1 0.4402 0.7500 0.7891